No. 1
CoMo2Au | PBE | optimized geometry

Its formation energy is 0.2559 eV/atom. The energy above the most stable polymorph in this dataset comes out at 103 meV per atom. Its total energy is -7.76 eV/atom. Its theoretical density is 12.46 g cm⁻³. As for the space group: No. 65.

Cell: 4.897 4.897 2.718 Å, 90.01 90.01 113.69°
Element x y z (fractional)
1 Au 0.500 0.000 0.500
2 Co 0.000 0.500 0.500
3 Mo 0.000 0.000 0.000
4 Mo 0.500 0.500 0.000

=====

No. 2
LiTm6Hg5 | PBE | optimized geometry

Its formation energy is -0.4089 eV/atom. Its total energy is -2.93 eV/atom. Its theoretical density is 11.37 g cm⁻³. As for the space group: No. 71.

Cell: 5.151 9.008 9.008 Å, 120.30 106.62 106.62°
Element x y z (fractional)
1 Tm 0.249 0.081 0.417
2 Tm 0.751 0.583 0.919
3 Tm 0.755 0.255 0.255
4 Tm 0.245 0.745 0.745
5 Tm 0.249 0.417 0.081
6 Tm 0.751 0.919 0.583
7 Hg 0.500 0.152 0.848
8 Hg 0.000 0.332 0.668
9 Hg 0.500 0.500 0.500
10 Hg 0.000 0.668 0.332
11 Hg 0.500 0.848 0.152
12 Li 0.000 0.000 0.000

=====

No. 3
Cd2InAg | PBE | optimized geometry

Its formation energy is -0.0165 eV/atom. Its total energy is -1.87 eV/atom. Its theoretical density is 8.41 g cm⁻³. As for the space group: No. 166.

Cell: 10.258 10.258 10.258 Å, 17.84 17.84 17.84°
Element x y z (fractional)
1 Cd 0.006 0.006 0.006
2 Cd 0.494 0.494 0.494
3 Ag 0.750 0.750 0.750
4 In 0.250 0.250 0.250

=====

No. 4
Cd3HgOs | PBE | optimized geometry

Its formation energy is 0.7488 eV/atom. The energy above the most stable polymorph in this dataset comes out at 0 meV per atom. Its total energy is -2.11 eV/atom. Its theoretical density is 8.29 g cm⁻³. As for the space group: No. 221.

Cell: 5.263 5.263 5.263 Å, 90.00 90.00 90.00°
Element x y z (fractional)
1 Os 0.000 0.000 0.000
2 Hg 0.500 0.500 0.500
3 Cd 0.000 0.500 0.000
4 Cd 0.000 0.000 0.500
5 Cd 0.500 0.000 0.000